Record 1
# YTaP3 | the Alexandria database | GGA-PBE | optimized geometry
data_YTaP3
_symmetry_space_group_name_H-M 'P m -3 m'
_symmetry_Int_Tables_number 221
_symmetry_space_group_name_Hall '-P 4 2 3'
_cell_length_a 4.793
_cell_length_b 4.793
_cell_length_c 4.793
_cell_angle_alpha 90.00
_cell_angle_beta 90.00
_cell_angle_gamma 90.00
loop_
_atom_site_label
_atom_site_type_symbol
_atom_site_fract_x
_atom_site_fract_y
_atom_site_fract_z
Y1 Y 0.000 0.000 0.000
Ta1 Ta 0.500 0.500 0.500
P1 P 0.000 0.500 0.500
# **Crystal system**: cubic
# **Mass density**: 5.47 g/cm³
# **Offset from the most stable computed form**: 0.000 eV/atom
# **E_tot**: -7.216 eV per atom
# **Fermi-level density of states**: 2.00 states/eV/f.u.
# **E_form**: -306.8 meV per atom


Record 2
# ZrPH | the Alexandria database | GGA-PBE | optimized geometry
data_ZrPH
_symmetry_space_group_name_H-M 'P 1 21/c 1'
_symmetry_Int_Tables_number 14
_symmetry_space_group_name_Hall '-P 2ybc'
_cell_length_a 9.580
_cell_length_b 5.049
_cell_length_c 6.649
_cell_angle_alpha 90.00
_cell_angle_beta 91.02
_cell_angle_gamma 90.00
loop_
_atom_site_label
_atom_site_type_symbol
_atom_site_fract_x
_atom_site_fract_y
_atom_site_fract_z
Zr1 Zr 0.111 0.134 0.314
Zr2 Zr 0.345 0.629 0.171
P1 P 0.121 0.638 0.456
P2 P 0.377 0.127 0.316
H1 H 0.172 0.114 0.601
H2 H 0.396 0.611 0.461
# **Crystal system**: monoclinic
# **Mass density**: 5.09 g/cm³
# **Offset from the most stable computed form**: 0.229 eV/atom
# **E_tot**: -6.568 eV per atom
# **Fermi-level density of states**: 0.72 states/eV/f.u.


Record 3
# Cs12Mg3H5 | the Alexandria database | GGA-PBE | optimized geometry
data_Cs12Mg3H5
_symmetry_space_group_name_H-M 'I a -3 d'
_symmetry_Int_Tables_number 230
_symmetry_space_group_name_Hall '-I 4bd 2c 3'
_cell_length_a 20.797
_cell_length_b 20.797
_cell_length_c 20.797
_cell_angle_alpha 90.00
_cell_angle_beta 90.00
_cell_angle_gamma 90.00
loop_
_atom_site_label
_atom_site_type_symbol
_atom_site_fract_x
_atom_site_fract_y
_atom_site_fract_z
Cs1 Cs 0.036 0.046 0.648
Mg1 Mg 0.000 0.250 0.125
H1 H 0.000 0.000 0.000
H2 H 0.000 0.250 0.375
# **Crystal system**: cubic
# **Mass density**: 2.47 g/cm³
# **E_tot**: -1.508 eV per atom
# **Fermi-level density of states**: 17.50 states/eV/f.u.


Record 4
# MoP3 | the Alexandria database | GGA-PBE | optimized geometry
data_MoP3
_symmetry_space_group_name_H-M 'P 63/m m c'
_symmetry_Int_Tables_number 194
_symmetry_space_group_name_Hall '-P 6c 2c'
_cell_length_a 5.5544
_cell_length_b 5.5544
_cell_length_c 4.5496
_cell_angle_alpha 90.00
_cell_angle_beta 90.00
_cell_angle_gamma 120.00
loop_
_atom_site_label
_atom_site_type_symbol
_atom_site_fract_x
_atom_site_fract_y
_atom_site_fract_z
Mo1 Mo 0.3333 0.6667 0.2500
P1 P 0.1910 0.3819 0.7500
# **Crystal system**: hexagonal
# **Mass density**: 5.16 g/cm³
# **Offset from the most stable computed form**: 0.614 eV/atom
# **E_tot**: -6.395 eV per atom
# **Fermi-level density of states**: 2.43 states/eV/f.u.
# **E_form**: 370.4 meV per atom


Record 5
# UAg4Au | the Alexandria database | GGA-PBE | optimized geometry
data_UAg4Au
_symmetry_space_group_name_H-M 'F -4 3 m'
_symmetry_Int_Tables_number 216
_symmetry_space_group_name_Hall 'F -4 2 3'
_cell_length_a 7.816
_cell_length_b 7.816
_cell_length_c 7.816
_cell_angle_alpha 90.00
_cell_angle_beta 90.00
_cell_angle_gamma 90.00
loop_
_atom_site_label
_atom_site_type_symbol
_atom_site_fract_x
_atom_site_fract_y
_atom_site_fract_z
U1 U 0.000 0.000 0.000
Ag1 Ag 0.124 0.124 0.376
Au1 Au 0.250 0.250 0.750
# **Crystal system**: cubic
# **Mass density**: 12.05 g/cm³
# **E_tot**: -4.165 eV per atom
# **Fermi-level density of states**: 14.60 states/eV/f.u.
# **E_form**: 163.8 meV per atom


Record 6
# CdP4Ru | the Alexandria database | GGA-PBE | optimized geometry
data_CdP4Ru
_symmetry_space_group_name_H-M 'F -4 3 m'
_symmetry_Int_Tables_number 216
_symmetry_space_group_name_Hall 'F -4 2 3'
_cell_length_a 7.202
_cell_length_b 7.202
_cell_length_c 7.202
_cell_angle_alpha 90.00
_cell_angle_beta 90.00
_cell_angle_gamma 90.00
loop_
_atom_site_label
_atom_site_type_symbol
_atom_site_fract_x
_atom_site_fract_y
_atom_site_fract_z
Cd1 Cd 0.000 0.000 0.000
P1 P 0.124 0.124 0.624
Ru1 Ru 0.250 0.250 0.250
# **Crystal system**: cubic
# **Mass density**: 6.00 g/cm³
# **E_tot**: -4.538 eV per atom
# **Fermi-level density of states**: 5.01 states/eV/f.u.
# **E_form**: 767.2 meV per atom


Record 7
# Be3HgC | the Alexandria database | GGA-PBE | optimized geometry
data_Be3HgC
_symmetry_space_group_name_H-M 'P m -3 m'
_symmetry_Int_Tables_number 221
_symmetry_space_group_name_Hall '-P 4 2 3'
_cell_length_a 3.764
_cell_length_b 3.764
_cell_length_c 3.764
_cell_angle_alpha 90.00
_cell_angle_beta 90.00
_cell_angle_gamma 90.00
loop_
_atom_site_label
_atom_site_type_symbol
_atom_site_fract_x
_atom_site_fract_y
_atom_site_fract_z
Be1 Be 0.000 0.000 0.500
Hg1 Hg 0.500 0.500 0.500
C1 C 0.000 0.000 0.000
# **Crystal system**: cubic
# **Mass density**: 7.46 g/cm³
# **Offset from the most stable computed form**: 0.000 eV/atom
# **E_tot**: -3.682 eV per atom
# **Fermi-level density of states**: 1.66 states/eV/f.u.
# **E_form**: 458.8 meV per atom


Record 8
# Nd12Sm6Tm | the Alexandria database | GGA-PBE | optimized geometry
data_Nd12Sm6Tm
_symmetry_space_group_name_H-M 'R -3'
_symmetry_Int_Tables_number 148
_symmetry_space_group_name_Hall '-R 3'
_cell_length_a 12.2674
_cell_length_b 12.2674
_cell_length_c 15.3598
_cell_angle_alpha 90.00
_cell_angle_beta 90.00
_cell_angle_gamma 120.00
loop_
_atom_site_label
_atom_site_type_symbol
_atom_site_fract_x
_atom_site_fract_y
_atom_site_fract_z
Nd1 Nd 0.0026 0.1727 0.1902
Nd2 Nd 0.0474 0.1966 0.4164
Sm1 Sm 0.0148 0.5899 0.6861
Tm1 Tm 0.0000 0.0000 0.0000
# **Crystal system**: trigonal
# **Mass density**: 6.97 g/cm³
# **Offset from the most stable computed form**: 0.008 eV/atom
# **E_tot**: -4.608 eV per atom
# **Fermi-level density of states**: 30.92 states/eV/f.u.
# **E_form**: 129.3 meV per atom


Record 9
# PrNd4YS8 | the Alexandria database | GGA-PBE | optimized geometry
data_PrNd4YS8
_symmetry_space_group_name_H-M 'R 3 m'
_symmetry_Int_Tables_number 160
_symmetry_space_group_name_Hall 'R 3 -2"'
_cell_length_a 8.3143
_cell_length_b 8.3143
_cell_length_c 20.3927
_cell_angle_alpha 90.00
_cell_angle_beta 90.00
_cell_angle_gamma 120.00
loop_
_atom_site_label
_atom_site_type_symbol
_atom_site_fract_x
_atom_site_fract_y
_atom_site_fract_z
Pr1 Pr 0.0000 0.0000 0.0000
Nd1 Nd 0.0000 0.0000 0.3765
Nd2 Nd 0.0038 0.5019 0.5020
Y1 Y 0.0000 0.0000 0.6267
S1 S 0.0000 0.0000 0.2432
S2 S 0.0000 0.0000 0.7557
S3 S 0.0208 0.5104 0.7549
S4 S 0.1712 0.3424 0.5828
# **Crystal system**: trigonal
# **Mass density**: 4.34 g/cm³
# **E_tot**: -6.431 eV per atom
# **Formation energy from raw total energies**: -1.91 eV per atom
# **Fermi-level density of states**: 8.46 states/eV/f.u.


Record 10
# TbErB12 | the Alexandria database | GGA-PBE | optimized geometry
data_TbErB12
_symmetry_space_group_name_H-M 'P 4/m m m'
_symmetry_Int_Tables_number 123
_symmetry_space_group_name_Hall '-P 4 2'
_cell_length_a 4.092
_cell_length_b 4.092
_cell_length_c 8.189
_cell_angle_alpha 90.00
_cell_angle_beta 90.00
_cell_angle_gamma 90.00
loop_
_atom_site_label
_atom_site_type_symbol
_atom_site_fract_x
_atom_site_fract_y
_atom_site_fract_z
Tb1 Tb 0.000 0.000 0.000
Er1 Er 0.000 0.000 0.500
B1 B 0.199 0.500 0.251
B2 B 0.500 0.500 0.100
B3 B 0.500 0.500 0.401
# **Crystal system**: tetragonal
# **Mass density**: 5.52 g/cm³
# **E_tot**: -6.771 eV per atom
# **Fermi-level density of states**: 1.51 states/eV/f.u.
# **E_form**: -391.2 meV per atom


Record 11
# PmNdSb2Rh5 | the Alexandria database | GGA-PBE | optimized geometry
data_PmNdSb2Rh5
_symmetry_space_group_name_H-M 'P 4/m m m'
_symmetry_Int_Tables_number 123
_symmetry_space_group_name_Hall '-P 4 2'
_cell_length_a 4.471
_cell_length_b 4.471
_cell_length_c 9.057
_cell_angle_alpha 90.00
_cell_angle_beta 90.00
_cell_angle_gamma 90.00
loop_
_atom_site_label
_atom_site_type_symbol
_atom_site_fract_x
_atom_site_fract_y
_atom_site_fract_z
Pm1 Pm 0.000 0.000 0.000
Nd1 Nd 0.000 0.000 0.500
Sb1 Sb 0.500 0.500 0.341
Rh1 Rh 0.000 0.500 0.212
Rh2 Rh 0.500 0.500 0.000
# **Crystal system**: tetragonal
# **Mass density**: 9.60 g/cm³
# **E_tot**: -6.628 eV per atom
# **Formation energy from raw total energies**: -0.57 eV per atom
# **Fermi-level density of states**: 6.05 states/eV/f.u.


Record 12
# BaAsPdRh | the Alexandria database | GGA-PBE | optimized geometry
data_BaAsPdRh
_symmetry_space_group_name_H-M 'P 4/n m m'
_symmetry_Int_Tables_number 129
_cell_length_a 4.041
_cell_length_b 4.041
_cell_length_c 11.520
_cell_angle_alpha 90.00
_cell_angle_beta 90.00
_cell_angle_gamma 90.00
loop_
_symmetry_equiv_pos_as_xyz
'x,y,z'
'-x,-y,-z'
'-y+1/2,x,z'
'y+1/2,-x,-z'
'-x+1/2,-y+1/2,z'
'x+1/2,y+1/2,-z'
'y,-x+1/2,z'
'-y,x+1/2,-z'
'x+1/2,-y,-z'
'-x+1/2,y,z'
'-y,-x,-z'
'y,x,z'
'-x,y+1/2,-z'
'x,-y+1/2,z'
'y+1/2,x+1/2,-z'
'-y+1/2,-x+1/2,z'
loop_
_atom_site_label
_atom_site_type_symbol
_atom_site_fract_x
_atom_site_fract_y
_atom_site_fract_z
Ba1 Ba 0.250 0.250 0.217
As1 As 0.250 0.250 0.623
Pd1 Pd 0.250 0.750 0.000
Rh1 Rh 0.250 0.750 0.500
# **Crystal system**: tetragonal
# **Mass density**: 7.44 g/cm³
# **E_tot**: -5.407 eV per atom
# **Fermi-level density of states**: 2.23 states/eV/f.u.
# **E_form**: -628.1 meV per atom


Record 13
# YErTl | the Alexandria database | GGA-PBE | optimized geometry
data_YErTl
_symmetry_space_group_name_H-M 'P 21 21 21'
_symmetry_Int_Tables_number 19
_symmetry_space_group_name_Hall 'P 2ac 2ab'
_cell_length_a 3.518
_cell_length_b 6.315
_cell_length_c 16.356
_cell_angle_alpha 90.00
_cell_angle_beta 90.00
_cell_angle_gamma 90.00
loop_
_atom_site_label
_atom_site_type_symbol
_atom_site_fract_x
_atom_site_fract_y
_atom_site_fract_z
Y1 Y 0.248 0.004 0.435
Er1 Er 0.248 0.231 0.734
Tl1 Tl 0.246 0.506 0.402
# **Crystal system**: orthorhombic
# **Mass density**: 8.42 g/cm³
# **Offset from the most stable computed form**: 0.135 eV/atom
# **E_tot**: -4.616 eV per atom
# **Fermi-level density of states**: 3.49 states/eV/f.u.
# **E_form**: -151.4 meV per atom


Record 14
# Li2CuNi | the Alexandria database | GGA-PBE | optimized geometry
data_Li2CuNi
_symmetry_space_group_name_H-M 'C m m m'
_symmetry_Int_Tables_number 65
_symmetry_space_group_name_Hall '-C 2 2'
_cell_length_a 2.748
_cell_length_b 4.146
_cell_length_c 8.483
_cell_angle_alpha 90.00
_cell_angle_beta 90.00
_cell_angle_gamma 90.00
loop_
_atom_site_label
_atom_site_type_symbol
_atom_site_fract_x
_atom_site_fract_y
_atom_site_fract_z
Li1 Li 0.000 0.000 0.240
Cu1 Cu 0.000 0.500 0.500
Ni1 Ni 0.000 0.500 0.000
# **Crystal system**: orthorhombic
# **Mass density**: 4.68 g/cm³
# **Offset from the most stable computed form**: 0.010 eV/atom
# **E_tot**: -3.429 eV per atom
# **Fermi-level density of states**: 2.36 states/eV/f.u.
# **E_form**: -2.6 meV per atom


Record 15
# Tb4Ho3PuSe8 | the Alexandria database | GGA-PBE | optimized geometry
data_Tb4Ho3PuSe8
_symmetry_space_group_name_H-M 'R -3 m'
_symmetry_Int_Tables_number 166
_symmetry_space_group_name_Hall '-R 3 2"'
_cell_length_a 8.1680
_cell_length_b 8.1680
_cell_length_c 20.0297
_cell_angle_alpha 90.00
_cell_angle_beta 90.00
_cell_angle_gamma 120.00
loop_
_atom_site_label
_atom_site_type_symbol
_atom_site_fract_x
_atom_site_fract_y
_atom_site_fract_z
Tb1 Tb 0.0000 0.0000 0.0000
Tb2 Tb 0.0000 0.5000 0.0000
Ho1 Ho 0.0000 0.5000 0.5000
Pu1 Pu 0.0000 0.0000 0.5000
Se1 Se 0.0000 0.0000 0.2487
Se2 Se 0.0027 0.5013 0.7506
# **Crystal system**: trigonal
# **Mass density**: 8.64 g/cm³
# **E_tot**: -6.391 eV per atom
# **Formation energy from raw total energies**: -1.74 eV per atom
# **Fermi-level density of states**: 13.35 states/eV/f.u.


Record 16
# La2AsPd2 | the Alexandria database | GGA-PBE | optimized geometry
data_La2AsPd2
_symmetry_space_group_name_H-M 'P 4/m b m'
_symmetry_Int_Tables_number 127
_symmetry_space_group_name_Hall '-P 4 2ab'
_cell_length_a 7.602
_cell_length_b 7.602
_cell_length_c 4.087
_cell_angle_alpha 90.00
_cell_angle_beta 90.00
_cell_angle_gamma 90.00
loop_
_atom_site_label
_atom_site_type_symbol
_atom_site_fract_x
_atom_site_fract_y
_atom_site_fract_z
La1 La 0.185 0.315 0.000
As1 As 0.000 0.000 0.500
Pd1 Pd 0.126 0.626 0.500
# **Crystal system**: tetragonal
# **Mass density**: 7.95 g/cm³
# **Offset from the most stable computed form**: 0.000 eV/atom
# **E_tot**: -5.918 eV per atom
# **Fermi-level density of states**: 3.02 states/eV/f.u.
# **E_form**: -939.8 meV per atom


Record 17
# VSn2GeI | the Alexandria database | GGA-PBE | optimized geometry
data_VSn2GeI
_symmetry_space_group_name_H-M 'P 4/m m m'
_symmetry_Int_Tables_number 123
_symmetry_space_group_name_Hall '-P 4 2'
_cell_length_a 5.347
_cell_length_b 5.347
_cell_length_c 5.511
_cell_angle_alpha 90.00
_cell_angle_beta 90.00
_cell_angle_gamma 90.00
loop_
_atom_site_label
_atom_site_type_symbol
_atom_site_fract_x
_atom_site_fract_y
_atom_site_fract_z
V1 V 0.000 0.000 0.000
Sn1 Sn 0.000 0.500 0.500
Ge1 Ge 0.500 0.500 0.500
I1 I 0.500 0.500 0.000
# **Crystal system**: tetragonal
# **Mass density**: 5.14 g/cm³
# **Offset from the most stable computed form**: 0.000 eV/atom
# **E_tot**: -3.424 eV per atom
# **Formation energy from raw total energies**: 1.23 eV per atom
# **Fermi-level density of states**: 11.15 states/eV/f.u.


Record 18
# NiOsCl | the Alexandria database | GGA-PBE | optimized geometry
data_NiOsCl
_symmetry_space_group_name_H-M 'P 3 m 1'
_symmetry_Int_Tables_number 156
_symmetry_space_group_name_Hall 'P 3 -2"'
_cell_length_a 2.8820
_cell_length_b 2.8820
_cell_length_c 5.8449
_cell_angle_alpha 90.00
_cell_angle_beta 90.00
_cell_angle_gamma 120.00
loop_
_atom_site_label
_atom_site_type_symbol
_atom_site_fract_x
_atom_site_fract_y
_atom_site_fract_z
Ni1 Ni 0.0000 0.0000 0.0000
Os1 Os 0.6667 0.3333 0.3176
Cl1 Cl 0.3333 0.6667 0.6905
# **Crystal system**: trigonal
# **Mass density**: 11.23 g/cm³
# **Offset from the most stable computed form**: 0.000 eV/atom
# **E_tot**: -5.709 eV per atom
# **Formation energy from raw total energies**: 0.58 eV per atom
# **Fermi-level density of states**: 3.10 states/eV/f.u.


Record 19
# BaSrReO6 | the Alexandria database | GGA-PBE | optimized geometry
data_BaSrReO6
_symmetry_space_group_name_H-M 'P 1'
_symmetry_Int_Tables_number 1
_symmetry_space_group_name_Hall 'P 1'
_cell_length_a 5.420
_cell_length_b 5.830
_cell_length_c 6.003
_cell_angle_alpha 60.96
_cell_angle_beta 89.13
_cell_angle_gamma 88.12
loop_
_atom_site_label
_atom_site_type_symbol
_atom_site_fract_x
_atom_site_fract_y
_atom_site_fract_z
Ba1 Ba 0.000 0.000 0.000
Sr1 Sr 0.501 0.329 0.343
Re1 Re 0.498 0.648 0.704
O1 O 0.282 0.415 0.933
O2 O 0.311 0.938 0.678
O3 O 0.320 0.702 0.391
O4 O 0.679 0.906 0.391
O5 O 0.685 0.382 0.682
O6 O 0.714 0.657 0.931
# **Crystal system**: triclinic
# **Mass density**: 5.08 g/cm³
# **E_tot**: -7.155 eV per atom
# **Formation energy from raw total energies**: -2.07 eV per atom